# 1
Below is crystalline Rb2ZrPbF6 at its relaxed geometry, with properties calculated at the GGA-PBE level.

Cell: 6.5037 6.5037 7.6848 Å, 64.97 64.97 90.00°
Fractional coordinates of all 10 atoms:
Pb (0.0000, 0.0000, 0.0000)
Rb (0.7500, 0.2500, 0.5000)
Rb (0.2500, 0.7500, 0.5000)
Zr (0.5000, 0.5000, 0.0000)
F (0.3340, 0.3340, 0.3321)
F (0.6660, 0.6660, 0.6679)
F (0.2782, 0.2782, 0.0000)
F (0.7218, 0.7218, 0.0000)
F (0.7218, 0.2782, 0.0000)
F (0.2782, 0.7218, 0.0000)

spin magnetization = 0.000 μB per cell
space-group type = No. 139
mass density = 3.720 g/cm3
raw formation energy = -2.723 eV/atom
total DFT energy (no corrections) = -52.65 eV per cell
calculated volume = 26.04 A^3/atom



# 2
Below is crystalline Re3PbF at its relaxed geometry, with properties calculated at the GGA-PBE level.

Cell: 4.3636 4.3636 4.3636 Å, 90.00 90.00 90.00°
Site moments in Bohr magnetons follow the coordinates.
Fractional coordinates of all 5 atoms:
Pb (0.5000, 0.5000, 0.5000)  -0.01
Re (0.0000, 0.5000, 0.0000)  0.82
Re (0.0000, 0.0000, 0.5000)  1.09
Re (0.5000, 0.0000, 0.0000)  0.74
F (0.0000, 0.0000, 0.0000)  0.02

spin magnetization = 2.952 μB per cell
excess energy over the best structure of this formula in the dataset = 0 meV per atom
space-group type = No. 221
mass density = 15.684 g/cm3
raw formation energy = 1.628 eV/atom
total DFT energy (no corrections) = -34.79 eV per cell
calculated volume = 16.62 A^3/atom



# 3
Below is crystalline RePbF6 at its relaxed geometry, with properties calculated at the GGA-PBE level.

Cell: 5.7105 5.7047 6.1739 Å, 62.50 62.59 60.12°
Site moments in Bohr magnetons follow the coordinates.
Fractional coordinates of all 8 atoms:
Re (0.0000, 0.0000, 0.0000)  2.40
Pb (0.5000, 0.5000, 0.5000)  0.01
F (0.0864, 0.3500, 0.7772)  0.06
F (0.7856, 0.0860, 0.7780)  0.06
F (0.6512, 0.2136, 0.2221)  0.06
F (0.2144, 0.9140, 0.2220)  0.06
F (0.9136, 0.6500, 0.2228)  0.06
F (0.3488, 0.7864, 0.7779)  0.06

spin magnetization = 3.000 μB per cell
space-group type = No. 2
mass density = 5.709 g/cm3
raw formation energy = -2.193 eV/atom
total DFT energy (no corrections) = -44.93 eV per cell
calculated volume = 18.45 A^3/atom



# 4
Below is crystalline RePbF2 at its relaxed geometry, with properties calculated at the GGA-PBE level.

Cell: 8.7395 8.7395 8.7395 Å, 19.58 19.58 19.58°
Site moments in Bohr magnetons follow the coordinates.
Fractional coordinates of all 4 atoms:
Pb (0.5000, 0.5000, 0.5000)  0.00
Re (0.0000, 0.0000, 0.0000)  0.20
F (0.9232, 0.9232, 0.9232)  0.00
F (0.0768, 0.0768, 0.0768)  0.00

spin magnetization = 0.244 μB per cell
excess energy over the best structure of this formula in the dataset = 0 meV per atom
space-group type = No. 166
mass density = 10.931 g/cm3
raw formation energy = -0.782 eV/atom
total DFT energy (no corrections) = -23.03 eV per cell
calculated volume = 16.38 A^3/atom



# 5
Below is crystalline RePbF2 at its relaxed geometry, with properties calculated at the GGA-PBE level.

Cell: 4.5992 4.5992 4.5992 Å, 60.00 60.00 60.00°
Site moments in Bohr magnetons follow the coordinates.
Fractional coordinates of all 4 atoms:
Pb (0.5000, 0.5000, 0.5000)  0.02
Re (0.0000, 0.0000, 0.0000)  3.62
F (0.2500, 0.2500, 0.2500)  0.14
F (0.7500, 0.7500, 0.7500)  0.14

spin magnetization = 4.624 μB per cell
excess energy over the best structure of this formula in the dataset = 880 meV per atom
space-group type = No. 225
mass density = 10.414 g/cm3
raw formation energy = 0.097 eV/atom
total DFT energy (no corrections) = -19.51 eV per cell
calculated volume = 17.20 A^3/atom



# 6
Below is crystalline Re3PbF at its relaxed geometry, with properties calculated at the GGA-PBE level.

Cell: 5.4676 5.4676 5.4676 Å, 90.00 90.00 90.00°
Site moments in Bohr magnetons follow the coordinates.
Fractional coordinates of all 5 atoms:
Pb (0.0000, 0.0000, 0.0000)  -0.09
Re (0.0000, 0.5000, 0.0000)  3.53
Re (0.0000, 0.0000, 0.5000)  3.50
Re (0.5000, 0.0000, 0.0000)  3.43
F (0.5000, 0.5000, 0.5000)  0.24

spin magnetization = 12.992 μB per cell
excess energy over the best structure of this formula in the dataset = 1677 meV per atom
space-group type = No. 221
mass density = 7.973 g/cm3
raw formation energy = 3.305 eV/atom
total DFT energy (no corrections) = -26.40 eV per cell
calculated volume = 32.69 A^3/atom



# 7
Below is crystalline RePbF2 at its relaxed geometry, with properties calculated at the GGA-PBE level.

Cell: 8.9420 8.9420 8.9420 Å, 18.86 18.86 18.86°
Fractional coordinates of all 4 atoms:
Pb (0.0000, 0.0000, 0.0000)
Re (0.5000, 0.5000, 0.5000)
F (0.9031, 0.9031, 0.9031)
F (0.0969, 0.0969, 0.0969)

spin magnetization = 0.000 μB per cell
excess energy over the best structure of this formula in the dataset = 606 meV per atom
space-group type = No. 166
mass density = 10.977 g/cm3
raw formation energy = -0.177 eV/atom
total DFT energy (no corrections) = -20.61 eV per cell
calculated volume = 16.32 A^3/atom



# 8
Below is crystalline RePbF2 at its relaxed geometry, with properties calculated at the GGA-PBE level.

Cell: 4.1436 4.1436 8.5049 Å, 75.90 75.90 90.00°
Site moments in Bohr magnetons follow the coordinates.
Fractional coordinates of all 8 atoms:
Pb (0.0000, 0.0000, 0.0000)  -0.04
Pb (0.7500, 0.2500, 0.5000)  -0.04
Re (0.5000, 0.5000, 0.0000)  2.62
Re (0.2500, 0.7500, 0.5000)  2.62
F (0.5474, 0.1250, 0.2500)  0.06
F (0.2026, 0.6250, 0.2500)  0.05
F (0.3750, 0.4526, 0.7500)  0.04
F (0.8750, 0.7974, 0.7500)  0.04

spin magnetization = 6.012 μB per cell
excess energy over the best structure of this formula in the dataset = 446 meV per atom
space-group type = No. 122
mass density = 10.451 g/cm3
raw formation energy = -0.336 eV/atom
total DFT energy (no corrections) = -42.49 eV per cell
calculated volume = 17.14 A^3/atom



# 9
Below is crystalline RePbF5 at its relaxed geometry, with properties calculated at the GGA-PBE level.

Cell: 6.0276 6.0276 8.0154 Å, 71.42 71.42 73.27°
Site moments in Bohr magnetons follow the coordinates.
Fractional coordinates of all 14 atoms:
Re (0.0000, 0.0000, 0.0000)  1.66
Re (0.0000, 0.0000, 0.5000)  1.66
Pb (0.5256, 0.4744, 0.7500)  -0.01
Pb (0.4744, 0.5256, 0.2500)  -0.01
F (0.2407, 0.2068, 0.8853)  0.07
F (0.2983, 0.7197, 0.5143)  0.01
F (0.2068, 0.2407, 0.3853)  0.07
F (0.9048, 0.0952, 0.7500)  0.02
F (0.2803, 0.7017, 0.9857)  0.01
F (0.7197, 0.2983, 0.0143)  0.01
F (0.0952, 0.9048, 0.2500)  0.02
F (0.7932, 0.7593, 0.6147)  0.07
F (0.7017, 0.2803, 0.4857)  0.01
F (0.7593, 0.7932, 0.1147)  0.07

spin magnetization = 3.999 μB per cell
space-group type = No. 15
mass density = 6.337 g/cm3
raw formation energy = -1.869 eV/atom
total DFT energy (no corrections) = -77.19 eV per cell
calculated volume = 18.28 A^3/atom



# 10
Below is crystalline RePb2F8 at its relaxed geometry, with properties calculated at the GGA-PBE level.

Cell: 4.8670 6.9826 6.3946 Å, 110.96 73.06 86.63°
Site moments in Bohr magnetons follow the coordinates.
Fractional coordinates of all 11 atoms:
Pb (0.7657, 0.6668, 0.3975)  0.01
Pb (0.2343, 0.3332, 0.6025)  0.01
Re (0.0000, 0.0000, 0.0000)  2.39
F (0.2916, 0.9784, 0.6969)  0.06
F (0.7568, 0.8889, 0.8018)  0.06
F (0.7084, 0.0216, 0.3031)  0.06
F (0.2819, 0.5602, 0.4040)  0.00
F (0.2432, 0.1111, 0.1982)  0.06
F (0.1199, 0.7062, 0.9590)  0.06
F (0.8801, 0.2938, 0.0410)  0.06
F (0.7181, 0.4398, 0.5960)  0.00

spin magnetization = 3.000 μB per cell
space-group type = No. 2
mass density = 6.547 g/cm3
raw formation energy = -2.233 eV/atom
total DFT energy (no corrections) = -59.40 eV per cell
calculated volume = 17.35 A^3/atom



# 11
Below is crystalline SrRePbF2 at its relaxed geometry, with properties calculated at the GGA-PBE level.

Cell: 4.4146 7.9894 4.4146 Å, 90.00 90.00 90.00°
Site moments in Bohr magnetons follow the coordinates.
Fractional coordinates of all 5 atoms:
Pb (0.5000, 0.5000, 0.5000)  -0.18
Re (0.0000, 0.5000, 0.0000)  2.97
F (0.0000, 0.0000, 0.5000)  0.00
F (0.5000, 0.0000, 0.0000)  0.00
Sr (0.0000, 0.0000, 0.0000)  0.01

spin magnetization = 3.150 μB per cell
space-group type = No. 123
mass density = 5.535 g/cm3
raw formation energy = -0.879 eV/atom
total DFT energy (no corrections) = -25.98 eV per cell
calculated volume = 31.14 A^3/atom



# 12
Below is crystalline TaRePb2F at its relaxed geometry, with properties calculated at the GGA-PBE level.

Cell: 5.4722 3.8229 5.4722 Å, 90.00 90.00 90.00°
Site moments in Bohr magnetons follow the coordinates.
Fractional coordinates of all 5 atoms:
Pb (0.0000, 0.0000, 0.5000)  -0.03
Pb (0.5000, 0.0000, 0.0000)  -0.02
Re (0.0000, 0.0000, 0.0000)  0.42
F (0.0000, 0.5000, 0.0000)  0.03
Ta (0.5000, 0.5000, 0.5000)  0.98

spin magnetization = 1.882 μB per cell
space-group type = No. 123
mass density = 11.612 g/cm3
raw formation energy = 0.871 eV/atom
total DFT energy (no corrections) = -29.23 eV per cell
calculated volume = 22.90 A^3/atom